# 1
Compound: Nd2MgIr
Source: the Alexandria database
Functional: PBE
Structure: relaxed

Properties
Total DFT energy (no corrections) = -5.30 eV per atom
Crystal system = cubic
Excess energy over the best structure of this formula in the dataset = 51.9 meV per atom
Mass density = 8.5 g/cm3

Geometry as CIF:
```
data_Nd2MgIr
_chemical_formula_sum 'Nd8 Mg4 Ir4'
_cell_length_a 7.343
_cell_length_b 7.343
_cell_length_c 7.343
_cell_angle_alpha 90.00
_cell_angle_beta 90.00
_cell_angle_gamma 90.00
_space_group_name_H-M_alt 'F m -3 m'
_space_group_IT_number 225
_space_group_name_Hall '-F 4 2 3'
loop_
_atom_site_label
_atom_site_fract_x
_atom_site_fract_y
_atom_site_fract_z
Nd1 0.250 0.250 0.250
Mg1 0.000 0.000 0.000
Ir1 0.000 0.000 0.500
```

=====

# 2
Compound: CaAcTl2
Source: the Alexandria database
Functional: PBE
Structure: relaxed

Properties
Total DFT energy (no corrections) = -3.12 eV per atom
Crystal system = cubic
Mass density = 8.6 g/cm3

Geometry as CIF:
```
data_CaAcTl2
_chemical_formula_sum 'Ca4 Ac4 Tl8'
_cell_length_a 8.061
_cell_length_b 8.061
_cell_length_c 8.061
_cell_angle_alpha 90.00
_cell_angle_beta 90.00
_cell_angle_gamma 90.00
_space_group_name_H-M_alt 'F m -3 m'
_space_group_IT_number 225
_space_group_name_Hall '-F 4 2 3'
loop_
_atom_site_label
_atom_site_fract_x
_atom_site_fract_y
_atom_site_fract_z
Ca1 0.000 0.000 0.000
Ac1 0.000 0.000 0.500
Tl1 0.250 0.250 0.250
```

=====

Energy of formation in eV/atom, matching the order above: -0.30; -0.41